(1)
DFT (PBE) results for a relaxed structure of Ir7C5. Values from VASP.

Results
- Crystal system: tetragonal
- Space-group type: No. 107
- DOS(E_F): 7.6 states/eV/f.u.
- ΔE_f: 1.6786 eV per atom

Geometry as Quantum ESPRESSO input:
```
&SYSTEM
  ibrav = 0, nat = 12, ntyp = 2
/
ATOMIC_SPECIES
Ir 192.22 Ir.upf
C 12.01 C.upf
CELL_PARAMETERS angstrom
-4.281 4.281 2.407
4.281 -4.281 2.407
4.281 4.281 -2.407
ATOMIC_POSITIONS crystal
Ir 0.000 0.000 0.000
Ir 0.350 0.850 0.500
Ir 0.375 0.604 0.771
Ir 0.604 0.375 0.771
Ir 0.604 0.834 0.229
Ir 0.834 0.604 0.229
Ir 0.850 0.350 0.500
C 0.252 0.252 0.563
C 0.252 0.689 0.000
C 0.388 0.388 0.000
C 0.689 0.252 0.000
C 0.689 0.689 0.437
```

(2)
DFT (PBE) results for a relaxed structure of PmPuZnO6. Values from VASP.

Results
- Crystal system: trigonal
- Space-group type: No. 149
- DOS(E_F): 0.0 states/eV/f.u.
- E_form (uncorrected): -2.212 eV/atom

Geometry as Quantum ESPRESSO input:
```
&SYSTEM
  ibrav = 0, nat = 9, ntyp = 4
/
ATOMIC_SPECIES
Pm 145.00 Pm.upf
Pu 244.00 Pu.upf
Zn 65.41 Zn.upf
O 16.00 O.upf
CELL_PARAMETERS angstrom
5.725 0.000 0.000
-2.863 4.958 0.000
0.000 0.000 4.502
ATOMIC_POSITIONS crystal
Pm 0.000 0.000 0.000
Pu 0.333 0.667 0.000
Zn 0.667 0.333 0.500
O 0.026 0.373 0.239
O 0.026 0.653 0.761
O 0.347 0.373 0.761
O 0.347 0.974 0.239
O 0.627 0.653 0.239
O 0.627 0.974 0.761
```

(3)
DFT (PBE) results for a relaxed structure of NdSn2Au3. Values from VASP.

Results
- Crystal system: orthorhombic
- Space-group type: No. 71
- DOS(E_F): 2.4 states/eV/f.u.
- ΔE_f: -0.4987 eV per atom

Geometry as Quantum ESPRESSO input:
```
&SYSTEM
  ibrav = 0, nat = 12, ntyp = 3
/
ATOMIC_SPECIES
Nd 144.24 Nd.upf
Sn 118.71 Sn.upf
Au 196.97 Au.upf
CELL_PARAMETERS angstrom
-2.421 3.922 7.423
2.421 -3.922 7.423
2.421 3.922 -7.423
ATOMIC_POSITIONS crystal
Nd 0.138 0.138 0.000
Nd 0.862 0.862 0.000
Sn 0.184 0.500 0.684
Sn 0.324 0.824 0.500
Sn 0.676 0.176 0.500
Sn 0.816 0.500 0.316
Au 0.088 0.314 0.774
Au 0.325 0.000 0.325
Au 0.461 0.686 0.774
Au 0.539 0.314 0.226
Au 0.675 0.000 0.675
Au 0.912 0.686 0.226
```

(4)
DFT (PBE) results for a relaxed structure of Ca3GaPt2. Values from VASP.

Results
- Crystal system: orthorhombic
- Space-group type: No. 62
- DOS(E_F): 2.6 states/eV/f.u.
- ΔE_f: -0.8239 eV per atom

Geometry as Quantum ESPRESSO input:
```
&SYSTEM
  ibrav = 0, nat = 24, ntyp = 3
/
ATOMIC_SPECIES
Ca 40.08 Ca.upf
Ga 69.72 Ga.upf
Pt 195.08 Pt.upf
CELL_PARAMETERS angstrom
11.742 0.000 0.000
0.000 4.203 0.000
0.000 0.000 12.081
ATOMIC_POSITIONS crystal
Ca 0.055 0.250 0.117
Ca 0.129 0.750 0.563
Ca 0.192 0.250 0.812
Ca 0.308 0.750 0.312
Ca 0.371 0.250 0.063
Ca 0.445 0.750 0.617
Ca 0.555 0.250 0.383
Ca 0.629 0.750 0.937
Ca 0.692 0.250 0.688
Ca 0.808 0.750 0.188
Ca 0.871 0.250 0.437
Ca 0.945 0.750 0.883
Ga 0.128 0.250 0.368
Ga 0.372 0.750 0.868
Ga 0.628 0.250 0.132
Ga 0.872 0.750 0.632
Pt 0.027 0.750 0.317
Pt 0.193 0.750 0.987
Pt 0.307 0.250 0.487
Pt 0.473 0.250 0.817
Pt 0.527 0.750 0.183
Pt 0.693 0.750 0.513
Pt 0.807 0.250 0.013
Pt 0.973 0.250 0.683
```

(5)
DFT (PBE) results for a relaxed structure of Th2BeIn. Values from VASP.

Results
- Crystal system: tetragonal
- Space-group type: No. 123
- Energy above the lowest structure with this stoichiometry: 0.0 meV/atom
- DOS(E_F): 4.4 states/eV/f.u.
- ΔE_f: -0.0243 eV per atom

Geometry as Quantum ESPRESSO input:
```
&SYSTEM
  ibrav = 0, nat = 4, ntyp = 3
/
ATOMIC_SPECIES
Th 232.04 Th.upf
Be 9.01 Be.upf
In 114.82 In.upf
CELL_PARAMETERS angstrom
3.366 0.000 0.000
0.000 3.366 0.000
0.000 0.000 8.816
ATOMIC_POSITIONS crystal
Th 0.000 0.000 0.210
Th 0.000 0.000 0.790
Be 0.500 0.500 0.000
In 0.500 0.500 0.500
```

(6)
DFT (PBE) results for a relaxed structure of Ba4BeAs. Values from VASP.

Results
- Crystal system: cubic
- Space-group type: No. 216
- DOS(E_F): 7.3 states/eV/f.u.
- ΔE_f: 0.7044 eV per atom

Geometry as Quantum ESPRESSO input:
```
&SYSTEM
  ibrav = 0, nat = 6, ntyp = 3
/
ATOMIC_SPECIES
Ba 137.33 Ba.upf
Be 9.01 Be.upf
As 74.92 As.upf
CELL_PARAMETERS angstrom
0.000 4.985 4.985
4.985 0.000 4.985
4.985 4.985 0.000
ATOMIC_POSITIONS crystal
Ba 0.376 0.376 0.376
Ba 0.376 0.376 0.872
Ba 0.376 0.872 0.376
Ba 0.872 0.376 0.376
Be 0.000 0.000 0.000
As 0.750 0.750 0.750
```

(7)
DFT (PBE) results for a relaxed structure of CrPd4Pt. Values from VASP.

Results
- Crystal system: orthorhombic
- Space-group type: No. 36
- Energy above the lowest structure with this stoichiometry: 104.5 meV/atom
- DOS(E_F): 8.7 states/eV/f.u.
- ΔE_f: 0.0705 eV per atom

Geometry as Quantum ESPRESSO input:
```
&SYSTEM
  ibrav = 0, nat = 12, ntyp = 3
/
ATOMIC_SPECIES
Cr 52.00 Cr.upf
Pd 106.42 Pd.upf
Pt 195.08 Pt.upf
CELL_PARAMETERS angstrom
1.380 -9.181 0.000
1.380 9.181 0.000
0.000 0.000 7.411
ATOMIC_POSITIONS crystal
Cr 0.184 0.816 0.500
Cr 0.816 0.184 0.000
Pd 0.054 0.946 0.293
Pd 0.304 0.696 0.314
Pd 0.317 0.683 0.691
Pd 0.429 0.571 0.115
Pd 0.571 0.429 0.615
Pd 0.683 0.317 0.191
Pd 0.696 0.304 0.814
Pd 0.946 0.054 0.793
Pt 0.437 0.563 0.471
Pt 0.563 0.437 0.971
```

(8)
DFT (PBE) results for a relaxed structure of HfZrAl. Values from VASP.

Results
- Crystal system: tetragonal
- Space-group type: No. 129
- Energy above the lowest structure with this stoichiometry: 92.0 meV/atom
- DOS(E_F): 2.8 states/eV/f.u.
- ΔE_f: -0.2170 eV per atom

Geometry as Quantum ESPRESSO input:
```
&SYSTEM
  ibrav = 0, nat = 6, ntyp = 3
/
ATOMIC_SPECIES
Hf 178.49 Hf.upf
Zr 91.22 Zr.upf
Al 26.98 Al.upf
CELL_PARAMETERS angstrom
4.093 0.000 0.000
0.000 4.093 0.000
0.000 0.000 7.619
ATOMIC_POSITIONS crystal
Hf 0.250 0.750 0.000
Hf 0.750 0.250 0.000
Zr 0.250 0.250 0.343
Zr 0.750 0.750 0.657
Al 0.250 0.250 0.723
Al 0.750 0.750 0.277
```

(9)
DFT (PBE) results for a relaxed structure of Np2ZnGa4Pt3. Values from VASP.

Results
- Crystal system: tetragonal
- Space-group type: No. 115
- DOS(E_F): 22.1 states/eV/f.u.
- ΔE_f: -0.4908 eV per atom

Geometry as Quantum ESPRESSO input:
```
&SYSTEM
  ibrav = 0, nat = 10, ntyp = 4
/
ATOMIC_SPECIES
Np 237.00 Np.upf
Zn 65.41 Zn.upf
Ga 69.72 Ga.upf
Pt 195.08 Pt.upf
CELL_PARAMETERS angstrom
4.083 0.000 0.000
0.000 4.083 0.000
0.000 0.000 11.281
ATOMIC_POSITIONS crystal
Np 0.000 0.500 0.247
Np 0.500 0.000 0.753
Zn 0.000 0.000 0.500
Ga 0.000 0.000 0.000
Ga 0.000 0.500 0.635
Ga 0.500 0.000 0.365
Ga 0.500 0.500 0.000
Pt 0.000 0.500 0.856
Pt 0.500 0.000 0.144
Pt 0.500 0.500 0.500
```

(10)
DFT (PBE) results for a relaxed structure of TbMn4Al8. Values from VASP.

Results
- Crystal system: tetragonal
- Space-group type: No. 139
- DOS(E_F): 8.7 states/eV/f.u.
- ΔE_f: -0.3364 eV per atom

Geometry as Quantum ESPRESSO input:
```
&SYSTEM
  ibrav = 0, nat = 13, ntyp = 3
/
ATOMIC_SPECIES
Tb 158.93 Tb.upf
Mn 54.94 Mn.upf
Al 26.98 Al.upf
CELL_PARAMETERS angstrom
-4.398 4.398 2.468
4.398 -4.398 2.468
4.398 4.398 -2.468
ATOMIC_POSITIONS crystal
Tb 0.000 0.000 0.000
Mn 0.000 0.000 0.500
Mn 0.000 0.500 0.000
Mn 0.500 0.000 0.000
Mn 0.500 0.500 0.500
Al 0.000 0.342 0.342
Al 0.000 0.658 0.658
Al 0.281 0.500 0.781
Al 0.342 0.000 0.342
Al 0.500 0.281 0.781
Al 0.500 0.719 0.219
Al 0.658 0.000 0.658
Al 0.719 0.500 0.219
```

(11)
DFT (PBE) results for a relaxed structure of BaZn2Rh. Values from VASP.

Results
- Crystal system: orthorhombic
- Space-group type: No. 71
- DOS(E_F): 2.0 states/eV/f.u.
- ΔE_f: -0.0692 eV per atom

Geometry as Quantum ESPRESSO input:
```
&SYSTEM
  ibrav = 0, nat = 4, ntyp = 3
/
ATOMIC_SPECIES
Ba 137.33 Ba.upf
Zn 65.41 Zn.upf
Rh 102.91 Rh.upf
CELL_PARAMETERS angstrom
-2.026 2.828 4.256
2.026 -2.828 4.256
2.026 2.828 -4.256
ATOMIC_POSITIONS crystal
Ba 0.000 0.000 0.000
Zn 0.319 0.819 0.500
Zn 0.681 0.181 0.500
Rh 0.500 0.500 0.000
```

(12)
DFT (PBE) results for a relaxed structure of LiRu2W. Values from VASP.

Results
- Crystal system: tetragonal
- Space-group type: No. 99
- Energy above the lowest structure with this stoichiometry: 386.8 meV/atom
- DOS(E_F): 3.5 states/eV/f.u.
- ΔE_f: 0.3318 eV per atom

Geometry as Quantum ESPRESSO input:
```
&SYSTEM
  ibrav = 0, nat = 4, ntyp = 3
/
ATOMIC_SPECIES
Li 6.94 Li.upf
Ru 101.07 Ru.upf
W 183.84 W.upf
CELL_PARAMETERS angstrom
3.189 0.000 0.000
0.000 3.189 0.000
0.000 0.000 5.524
ATOMIC_POSITIONS crystal
Li 0.000 0.000 0.000
Ru 0.000 0.000 0.504
Ru 0.500 0.500 0.172
W 0.500 0.500 0.738
```

(13)
DFT (PBE) results for a relaxed structure of AlCoHg. Values from VASP.

Results
- Crystal system: cubic
- Space-group type: No. 216
- Energy above the lowest structure with this stoichiometry: 167.3 meV/atom
- DOS(E_F): 2.0 states/eV/f.u.
- ΔE_f: 0.1959 eV per atom

Geometry as Quantum ESPRESSO input:
```
&SYSTEM
  ibrav = 0, nat = 3, ntyp = 3
/
ATOMIC_SPECIES
Al 26.98 Al.upf
Co 58.93 Co.upf
Hg 200.59 Hg.upf
CELL_PARAMETERS angstrom
0.000 2.969 2.969
2.969 0.000 2.969
2.969 2.969 0.000
ATOMIC_POSITIONS crystal
Al 0.000 0.000 0.000
Co 0.250 0.250 0.250
Hg 0.500 0.500 0.500
```

(14)
DFT (PBE) results for a relaxed structure of LiYSiC2. Values from VASP.

Results
- Crystal system: tetragonal
- Space-group type: No. 123
- DOS(E_F): 3.4 states/eV/f.u.
- E_form (uncorrected): 2.126 eV/atom

Geometry as Quantum ESPRESSO input:
```
&SYSTEM
  ibrav = 0, nat = 5, ntyp = 4
/
ATOMIC_SPECIES
Li 6.94 Li.upf
Y 88.91 Y.upf
Si 28.09 Si.upf
C 12.01 C.upf
CELL_PARAMETERS angstrom
4.434 0.000 0.000
0.000 4.434 0.000
0.000 0.000 5.262
ATOMIC_POSITIONS crystal
Li 0.000 0.000 0.000
Y 0.000 0.000 0.500
Si 0.500 0.500 0.000
C 0.000 0.500 0.500
C 0.500 0.000 0.500
```

(15)
DFT (PBE) results for a relaxed structure of Sr2ZnRu. Values from VASP.

Results
- Crystal system: orthorhombic
- Space-group type: No. 44
- DOS(E_F): 2.5 states/eV/f.u.
- ΔE_f: 0.1509 eV per atom

Geometry as Quantum ESPRESSO input:
```
&SYSTEM
  ibrav = 0, nat = 4, ntyp = 3
/
ATOMIC_SPECIES
Sr 87.62 Sr.upf
Zn 65.41 Zn.upf
Ru 101.07 Ru.upf
CELL_PARAMETERS angstrom
-1.973 2.455 5.613
1.973 -2.455 5.613
1.973 2.455 -5.613
ATOMIC_POSITIONS crystal
Sr 0.000 0.000 0.000
Sr 0.721 0.221 0.500
Zn 0.287 0.787 0.500
Ru 0.421 0.421 0.000
```

(16)
DFT (PBE) results for a relaxed structure of RuS. Values from VASP.

Results
- Crystal system: hexagonal
- Space-group type: No. 186
- DOS(E_F): 1.5 states/eV/f.u.
- E_form (uncorrected): -0.099 eV/atom

Geometry as Quantum ESPRESSO input:
```
&SYSTEM
  ibrav = 0, nat = 4, ntyp = 2
/
ATOMIC_SPECIES
Ru 101.07 Ru.upf
S 32.06 S.upf
CELL_PARAMETERS angstrom
3.504 0.000 0.000
-1.752 3.034 0.000
0.000 0.000 6.615
ATOMIC_POSITIONS crystal
Ru 0.333 0.667 0.000
Ru 0.667 0.333 0.500
S 0.333 0.667 0.645
S 0.667 0.333 0.145
```

(17)
DFT (PBE) results for a relaxed structure of LiAgMo2. Values from VASP.

Results
- Crystal system: monoclinic
- Space-group type: No. 8
- Energy above the lowest structure with this stoichiometry: 202.3 meV/atom
- DOS(E_F): 2.5 states/eV/f.u.
- ΔE_f: 0.4007 eV per atom

Geometry as Quantum ESPRESSO input:
```
&SYSTEM
  ibrav = 0, nat = 4, ntyp = 3
/
ATOMIC_SPECIES
Li 6.94 Li.upf
Ag 107.87 Ag.upf
Mo 95.94 Mo.upf
CELL_PARAMETERS angstrom
4.516 -1.309 0.000
4.516 1.309 0.000
-0.242 0.000 5.388
ATOMIC_POSITIONS crystal
Li 0.000 0.000 0.000
Ag 0.747 0.747 0.215
Mo 0.248 0.248 0.731
Mo 0.486 0.486 0.514
```

(18)
DFT (PBE) results for a relaxed structure of SmS6Cl2. Values from VASP.

Results
- Crystal system: triclinic
- Space-group type: No. 2
- DOS(E_F): 2.2 states/eV/f.u.
- E_form (uncorrected): -0.645 eV/atom

Geometry as Quantum ESPRESSO input:
```
&SYSTEM
  ibrav = 0, nat = 9, ntyp = 3
/
ATOMIC_SPECIES
Sm 150.36 Sm.upf
S 32.06 S.upf
Cl 35.45 Cl.upf
CELL_PARAMETERS angstrom
4.185 0.000 0.000
-0.107 7.933 0.000
-0.497 -3.507 8.467
ATOMIC_POSITIONS crystal
Sm 0.000 0.000 0.000
S 0.099 0.724 0.451
S 0.109 0.281 0.305
S 0.110 0.495 0.716
S 0.890 0.505 0.284
S 0.891 0.719 0.695
S 0.901 0.276 0.549
Cl 0.498 0.161 0.909
Cl 0.502 0.839 0.091
```

(19)
DFT (PBE) results for a relaxed structure of Li2ZrBeN. Values from VASP.

Results
- Crystal system: tetragonal
- Space-group type: No. 123
- DOS(E_F): 3.9 states/eV/f.u.
- E_form (uncorrected): -0.262 eV/atom

Geometry as Quantum ESPRESSO input:
```
&SYSTEM
  ibrav = 0, nat = 5, ntyp = 4
/
ATOMIC_SPECIES
Li 6.94 Li.upf
Zr 91.22 Zr.upf
Be 9.01 Be.upf
N 14.01 N.upf
CELL_PARAMETERS angstrom
3.941 0.000 0.000
0.000 3.941 0.000
0.000 0.000 4.376
ATOMIC_POSITIONS crystal
Li 0.000 0.500 0.000
Li 0.500 0.000 0.000
Zr 0.000 0.000 0.500
Be 0.500 0.500 0.500
N 0.000 0.000 0.000
```

(20)
DFT (PBE) results for a relaxed structure of Na3FeSb. Values from VASP.

Results
- Crystal system: cubic
- Space-group type: No. 221
- DOS(E_F): 5.5 states/eV/f.u.
- E_form (uncorrected): 0.620 eV/atom

Geometry as Quantum ESPRESSO input:
```
&SYSTEM
  ibrav = 0, nat = 5, ntyp = 3
/
ATOMIC_SPECIES
Na 22.99 Na.upf
Fe 55.84 Fe.upf
Sb 121.76 Sb.upf
CELL_PARAMETERS angstrom
5.863 0.000 0.000
0.000 5.863 0.000
0.000 0.000 5.863
ATOMIC_POSITIONS crystal
Na 0.000 0.000 0.500
Na 0.000 0.500 0.000
Na 0.500 0.000 0.000
Fe 0.500 0.500 0.500
Sb 0.000 0.000 0.000
```